[1]
CaHf2BAu | PBE-GGA | relaxed

Properties
**ΔH_f (0 K)**: 10.03 eV per formula unit
**Electronic total energy**: -4.366 eV per atom
**Total magnetization**: 0.00 μB/f.u.

Cell: 5.046 5.046 4.299 Å, 90.00 90.00 90.00°
Positions (direct):
Ca: 0.000 0.000 0.000
Hf: 0.000 0.500 0.000
Hf: 0.500 0.000 0.000
B: 0.000 0.000 0.500
Au: 0.500 0.500 0.500

[2]
CsZnGe2 | PBE-GGA | relaxed

Properties
**ΔH_f (0 K)**: 0.54 eV per formula unit
**Electronic total energy**: -2.706 eV per atom
**Total magnetization**: 0.00 μB/f.u.

Cell: 9.593 9.593 9.593 Å, 146.92 146.92 47.48°
Positions (direct):
Cs: 0.375 0.625 0.750
Cs: 0.625 0.375 0.250
Zn: 0.125 0.875 0.250
Zn: 0.875 0.125 0.750
Ge: 0.000 0.000 0.000
Ge: 0.000 0.000 0.500
Ge: 0.000 0.500 0.000
Ge: 0.500 0.000 0.500

- Look up the electronic total energy of the second one.
  -2.706 eV per atom

- Among the records above, which one has the lowest electronic total energy?
  CaHf2BAu

- Which value of ΔH_f (0 K) does entry 2 give?
  0.54 eV per formula unit

What did the first record say?
CaHf2BAu | PBE-GGA | relaxed

Properties
**ΔH_f (0 K)**: 10.03 eV per formula unit
**Electronic total energy**: -4.366 eV per atom
**Total magnetization**: 0.00 μB/f.u.

Cell: 5.046 5.046 4.299 Å, 90.00 90.00 90.00°
Positions (direct):
Ca: 0.000 0.000 0.000
Hf: 0.000 0.500 0.000
Hf: 0.500 0.000 0.000
B: 0.000 0.000 0.500
Au: 0.500 0.500 0.500